## AcInN (GGA-PBE)

Data for a geometry-optimized AcInN structure.

a = 6.685 Å, b = 3.707 Å, c = 12.511 Å
α = 90.00°, β = 90.95°, γ = 90.00°
Space group Cm (No. 8)
Unique sites:
Ac 0.000 0.000 0.000 x2
Ac 0.185 0.500 0.328 x2
In 0.166 0.500 0.785 x2
In 0.483 0.500 0.563 x2
N 0.159 0.500 0.607 x2
N 0.360 0.000 0.407 x2

distance to the lowest polymorph of the same formula = 472.2 meV/atom
magnetization = 0.00 μB per cell
E = -5.13 eV/atom
formation energy from raw total energies = -69.1 meV/atom
calculated volume = 25.8 Å³ per atom